Here is an optimized crystal structure of Th2CuNi4Sb3 from Alexandria. Energies are from PBE-GGA.

Calculated values
Density in Mg/m³: 9.9
ΔE_f (raw) in eV/atom: -0.576

Cell and atoms, written as extended XYZ:
```
10
Lattice="4.3137 0.0000 0.0000 0.0000 4.3137 0.0000 0.0000 0.0000 10.1394" Properties=species:S:1:pos:R:3 pbc="T T T"
Sb 0.0000 0.0000 5.0697
Sb 0.0000 2.1568 1.3265
Sb 2.1568 0.0000 8.8129
Ni 0.0000 0.0000 0.0000
Ni 0.0000 2.1568 3.7963
Ni 2.1568 0.0000 6.3431
Ni 2.1568 2.1568 0.0000
Th 2.1568 0.0000 2.5415
Th 0.0000 2.1568 7.5979
Cu 2.1568 2.1568 5.0697
```